# 1
DFT (PBE) results for TlCdIn after structural relaxation.

Structure (POSCAR):
```
TlCdIn
1.0
-1.677 1.677 7.211
1.677 -1.677 7.211
1.677 1.677 -7.211
Tl Cd In
1 1 1
direct
0.000 0.000 0.000
0.666 0.666 0.000
0.321 0.321 0.000
```

Properties
calculated formation energy	30	meV/atom
calculated volume	81.16	Å³/f.u.
total moment	0.00	μB/cell


# 2
DFT (PBE) results for CoRuCl2 after structural relaxation.

Structure (POSCAR):
```
CoRuCl2
1.0
3.107 0.000 0.000
0.000 3.107 0.000
0.000 0.000 6.525
Co Ru Cl
1 1 2
direct
0.000 0.000 0.000
0.000 0.000 0.500
0.500 0.500 0.234
0.500 0.500 0.766
```

Properties
formation energy (no corrections)	765.8	meV/atom
energy relative to the lowest polymorph listed for this composition	0.737	eV per atom
calculated volume	62.99	Å³/f.u.
total moment	5.00	μB/cell


# 3
DFT (PBE) results for YPaPd2 after structural relaxation.

Structure (POSCAR):
```
YPaPd2
1.0
3.435 0.000 0.000
0.000 3.435 0.000
0.000 0.000 7.361
Y Pa Pd
1 1 2
direct
0.000 0.000 0.000
0.000 0.000 0.500
0.500 0.500 0.250
0.500 0.500 0.750
```

Properties
calculated formation energy	-581	meV/atom
energy relative to the lowest polymorph listed for this composition	0.000	eV per atom
calculated volume	86.84	Å³/f.u.
total moment	0.99	μB/cell


# 4
DFT (PBE) results for HoPuGa4 after structural relaxation.

Structure (POSCAR):
```
HoPuGa4
1.0
0.000 3.900 3.900
3.900 0.000 3.900
3.900 3.900 0.000
Ho Pu Ga
1 1 4
direct
0.000 0.000 0.000
0.750 0.750 0.750
0.375 0.375 0.375
0.375 0.375 0.874
0.375 0.874 0.375
0.874 0.375 0.375
```

Properties
calculated formation energy	-430	meV/atom
energy relative to the lowest polymorph listed for this composition	0.058	eV per atom
calculated volume	118.68	Å³/f.u.
total moment	6.06	μB/cell